Here is a geometry-optimized AcLaZn4 structure from the Alexandria database. Energies are from PBE.

## Properties
**D(E_F)**: 4.1 states/eV/cell
**ΔH_f (0 K)**: -0.28 eV per atom
**Total moment**: 0.00 μB per cell

Cell lengths 5.751, 5.751, 5.751 Å; angles 60.00, 60.00, 60.00 degrees
Sites, in units of the cell vectors:
Ac1 0.250 0.250 0.250
Zn1 0.626 0.626 0.121
Zn2 0.626 0.121 0.626
Zn3 0.626 0.626 0.626
Zn4 0.121 0.626 0.626
La1 0.000 0.000 0.000